1.
Below is crystalline TaCuAu2 at its relaxed geometry, with properties calculated at the PBE level.

Cell lengths 4.243, 4.243, 7.289 Å; angles 90.00, 90.00, 90.00 degrees
Space group I-4m2 (No. 119)
Unique sites:
Ta  0.000  0.000  0.000
Cu  0.000  0.500  0.750
Au  0.000  0.000  0.500
Au  0.000  0.500  0.250

Output
The calculation puts the density of states at the Fermi level at 0.3275 states/eV/atom. The formation energy comes out at 0.073 eV per atom. The value obtained for the final energy is -5.553 eV per atom.

=====

2.
Below is crystalline Ta2CuAu at its relaxed geometry, with properties calculated at the PBE level.

Cell lengths 2.874, 4.049, 5.681 Å; angles 90.00, 90.28, 90.00 degrees
Space group P2/m (No. 10)
Unique sites:
Ta  0.004  0.000  0.260
Cu  0.500  0.500  0.500
Au  0.500  0.500  0.000

Output
The calculation puts the density of states at the Fermi level at 0.6649 states/eV/atom. The formation energy comes out at 0.060 eV per atom. The value obtained for the final energy is -7.710 eV per atom.

=====

3.
Below is crystalline TaTiCuAu at its relaxed geometry, with properties calculated at the PBE level.

Cell lengths 3.266, 3.266, 6.055 Å; angles 90.00, 90.00, 90.00 degrees
Space group P4mm (No. 99)
Unique sites:
Ta  0.000  0.000  0.000
Ti  0.500  0.500  0.722
Cu  0.500  0.500  0.230
Au  0.000  0.000  0.472

Output
The calculation puts the density of states at the Fermi level at 0.4540 states/eV/atom. The formation energy comes out at -0.163 eV per atom. The value obtained for the final energy is -6.943 eV per atom.

=====

4.
Below is crystalline TaTlCuAu2 at its relaxed geometry, with properties calculated at the PBE level.

Cell lengths 5.213, 5.213, 4.964 Å; angles 90.00, 90.00, 90.00 degrees
Space group P4/mmm (No. 123)
Unique sites:
Ta  0.000  0.000  0.000
Tl  0.500  0.500  0.500
Cu  0.000  0.000  0.500
Au  0.000  0.500  0.000

Output
The calculation puts the density of states at the Fermi level at 0.7666 states/eV/atom. The formation energy comes out at 0.846 eV per atom. The value obtained for the final energy is -4.127 eV per atom.

=====

5.
Below is crystalline TaZnCuAu at its relaxed geometry, with properties calculated at the PBE level.

Cell lengths 6.319, 6.319, 6.319 Å; angles 90.00, 90.00, 90.00 degrees
Space group F-43m (No. 216)
Unique sites:
Ta  0.000  0.000  0.000
Zn  0.000  0.000  0.500
Cu  0.250  0.250  0.250
Au  0.250  0.250  0.750

Output
The calculation puts the density of states at the Fermi level at 0.5870 states/eV/atom. The formation energy comes out at 0.078 eV per atom. The value obtained for the final energy is -5.047 eV per atom.

=====

6.
Below is crystalline Tb7Cu2Au2 at its relaxed geometry, with properties calculated at the PBE level.

Cell lengths 7.680, 10.860, 7.149 Å; angles 90.00, 90.00, 90.00 degrees
Space group Cmmm (No. 65)
Unique sites:
Tb  0.000  0.000  0.000
Tb  0.000  0.500  0.254
Tb  0.250  0.250  0.266
Cu  0.000  0.295  0.000
Au  0.187  0.000  0.500

Output
The calculation puts the density of states at the Fermi level at 1.2302 states/eV/atom. The formation energy comes out at -0.159 eV per atom. The value obtained for the final energy is -4.447 eV per atom.

=====

7.
Below is crystalline Tb2CuAu2 at its relaxed geometry, with properties calculated at the PBE level.

Cell lengths 3.942, 16.425, 7.400 Å; angles 90.00, 90.00, 90.00 degrees
Space group Cmc2_1 (No. 36)
Unique sites:
Tb  0.000  0.028  0.000
Tb  0.000  0.199  0.421
Cu  0.000  0.412  0.167
Au  0.000  0.181  0.804
Au  0.000  0.426  0.793

Output
The calculation puts the density of states at the Fermi level at 0.7089 states/eV/atom. The formation energy comes out at -0.546 eV per atom. The value obtained for the final energy is -4.529 eV per atom.

=====

8.
Below is crystalline Tb2Cu3Au at its relaxed geometry, with properties calculated at the PBE level.

Cell lengths 7.142, 8.686, 15.163 Å; angles 90.00, 90.00, 90.00 degrees
Space group Fmmm (No. 69)
Unique sites:
Tb  0.248  0.000  0.000
Tb  0.250  0.250  0.250
Cu  0.000  0.000  0.161
Cu  0.000  0.242  0.081
Au  0.000  0.000  0.333

Output
The calculation puts the density of states at the Fermi level at 0.5832 states/eV/atom. For the relative energy among the computed polymorphs, the calculation gives 0 meV/atom. The formation energy comes out at -0.409 eV per atom. The value obtained for the final energy is -4.547 eV per atom.